# Sm5HoZn6 | Alexandria via LeMat-Bulk | PBE | relaxed
# V in Å³ per atom: 23.82
# Theoretical density in g cm⁻³: 7.6
# Uncorrected energy in eV/cell: -39.67
data_Sm5HoZn6
_cell_length_a 5.116
_cell_length_b 7.263
_cell_length_c 8.098
_cell_angle_alpha 90.00
_cell_angle_beta 108.24
_cell_angle_gamma 90.00
_symmetry_space_group_name_H-M 'P 1 2/m 1'
_symmetry_Int_Tables_number 10
loop_
_symmetry_equiv_pos_as_xyz
'x,y,z'
'-x,-y,-z'
'-x,y,-z'
'x,-y,z'
loop_
_atom_site_label
_atom_site_type_symbol
_atom_site_fract_x
_atom_site_fract_y
_atom_site_fract_z
Sm1 Sm 0.000 0.000 0.000
Sm2 Sm 0.332 0.000 0.664
Sm3 Sm 0.334 0.500 0.668
Ho1 Ho 0.000 0.500 0.000
Zn1 Zn 0.165 0.254 0.329
Zn2 Zn 0.500 0.256 0.000